Record 1
## AlC7 (meta-GGA SCAN)

Data for AlC7 at its PBEsol-relaxed geometry.

VASP energy: -48.3 eV for the cell shown
space-group type: No. 225

a = 4.408 Å, b = 4.408 Å, c = 4.408 Å
α = 60.00°, β = 60.00°, γ = 60.00°
Fractional positions:
C (0.000, 0.500, 0.000)
C (0.500, 0.500, 0.000)
C (0.000, 0.000, 0.500)
C (0.000, 0.500, 0.500)
C (0.500, 0.000, 0.500)
C (0.500, 0.000, 0.000)
C (0.500, 0.500, 0.500)
Al (0.000, 0.000, 0.000)

=====

Record 2
## TaCo4Rh (meta-GGA SCAN)

Data for TaCo4Rh at its PBEsol-relaxed geometry.

VASP energy: -170.5 eV for the cell shown
space-group type: No. 216

a = 4.651 Å, b = 4.651 Å, c = 4.651 Å
α = 60.00°, β = 60.00°, γ = 60.00°
Site moments in Bohr magnetons follow the coordinates.
Fractional positions:
Co (0.376, 0.376, 0.873)  1.73
Co (0.873, 0.376, 0.376)  1.73
Co (0.376, 0.873, 0.376)  1.73
Co (0.376, 0.376, 0.376)  1.73
Ta (0.000, 0.000, 0.000)  -0.39
Rh (0.750, 0.750, 0.750)  0.56

=====

Record 3
## FeIrPb2 (meta-GGA SCAN)

Data for FeIrPb2 at its PBEsol-relaxed geometry.

VASP energy: -238.9 eV for the cell shown
space-group type: No. 8
E above lowest polymorph: 0.137 eV per atom

a = 3.083 Å, b = 5.282 Å, c = 5.301 Å
α = 109.50°, β = 90.00°, γ = 106.97°
Site moments in Bohr magnetons follow the coordinates.
Fractional positions:
Fe (0.538, 0.075, 0.457)  3.10
Pb (0.974, 0.948, 0.944)  -0.03
Pb (0.777, 0.554, 0.316)  -0.04
Ir (0.211, 0.423, 0.783)  0.36

=====

Record 4
## RbScW2O8 (meta-GGA SCAN)

Data for RbScW2O8 at its PBEsol-relaxed geometry.

formation energy from raw total energies: -2656 meV per atom
VASP energy: -256.1 eV for the cell shown
space-group type: No. 164

a = 5.836 Å, b = 5.836 Å, c = 7.513 Å
α = 90.00°, β = 90.00°, γ = 120.00°
Fractional positions:
O (0.164, 0.836, 0.833)
O (0.164, 0.329, 0.833)
O (0.667, 0.333, 0.475)
O (0.836, 0.671, 0.167)
O (0.836, 0.164, 0.167)
O (0.329, 0.164, 0.167)
O (0.333, 0.667, 0.525)
O (0.671, 0.836, 0.833)
Sc (0.000, 0.000, 0.000)
W (0.333, 0.667, 0.758)
W (0.667, 0.333, 0.242)
Rb (0.000, 0.000, 0.500)

=====

Record 5
## Na2AgHg2 (meta-GGA SCAN)

Data for Na2AgHg2 at its PBEsol-relaxed geometry.

VASP energy: -354.1 eV for the cell shown
space-group type: No. 127

a = 4.616 Å, b = 7.239 Å, c = 7.239 Å
α = 90.00°, β = 90.00°, γ = 90.00°
Fractional positions:
Hg (0.000, 0.640, 0.140)
Hg (0.000, 0.860, 0.640)
Hg (0.000, 0.140, 0.360)
Hg (0.000, 0.360, 0.860)
Ag (0.000, 0.500, 0.500)
Ag (0.000, 0.000, 0.000)
Na (0.500, 0.171, 0.671)
Na (0.500, 0.829, 0.329)
Na (0.500, 0.329, 0.171)
Na (0.500, 0.671, 0.829)

=====

Record 6
## LiMg2Pb (meta-GGA SCAN)

Data for LiMg2Pb at its PBEsol-relaxed geometry.

VASP energy: -89.1 eV for the cell shown
space-group type: No. 119

a = 4.471 Å, b = 4.471 Å, c = 5.382 Å
α = 114.54°, β = 114.54°, γ = 90.00°
Fractional positions:
Pb (0.000, 0.000, 0.000)
Mg (0.500, 0.500, 0.000)
Mg (0.750, 0.250, 0.500)
Li (0.250, 0.750, 0.500)

=====

Record 7
## K2YCd (meta-GGA SCAN)

Data for K2YCd at its PBEsol-relaxed geometry.

VASP energy: -73.7 eV for the cell shown
space-group type: No. 10

a = 3.608 Å, b = 5.830 Å, c = 6.683 Å
α = 90.00°, β = 90.00°, γ = 92.74°
Fractional positions:
Cd (0.500, 0.000, 0.500)
K (0.265, 0.236, 0.000)
K (0.735, 0.764, 0.000)
Y (0.000, 0.500, 0.500)

=====

Record 8
## MnOsAu2 (meta-GGA SCAN)

Data for MnOsAu2 at its PBEsol-relaxed geometry.

VASP energy: -227.9 eV for the cell shown
space-group type: No. 160
E above lowest polymorph: 0.000 eV per atom

a = 2.726 Å, b = 2.726 Å, c = 9.315 Å
α = 81.59°, β = 81.59°, γ = 60.00°
Site moments in Bohr magnetons follow the coordinates.
Fractional positions:
Au (0.997, 0.997, 0.008)  -0.02
Au (0.757, 0.757, 0.730)  0.06
Os (0.240, 0.240, 0.279)  -0.33
Mn (0.506, 0.506, 0.483)  3.25

=====

Record 9
## GaP2NO (meta-GGA SCAN)

Data for GaP2NO at its PBEsol-relaxed geometry.

formation energy from raw total energies: 933 meV per atom
VASP energy: -48.0 eV for the cell shown
space-group type: No. 123

a = 3.650 Å, b = 4.003 Å, c = 4.003 Å
α = 90.00°, β = 90.00°, γ = 90.00°
Fractional positions:
N (0.000, 0.000, 0.000)
O (0.500, 0.000, 0.000)
Ga (0.500, 0.500, 0.500)
P (0.000, 0.500, 0.000)
P (0.000, 0.000, 0.500)

=====

Record 10
## GaNi3 (meta-GGA SCAN)

Data for GaNi3 at its PBEsol-relaxed geometry.

VASP energy: -65.8 eV for the cell shown
space-group type: No. 139

a = 3.621 Å, b = 3.621 Å, c = 4.210 Å
α = 115.47°, β = 115.47°, γ = 90.00°
Site moments in Bohr magnetons follow the coordinates.
Fractional positions:
Ga (0.000, 0.000, 0.000)  -0.03
Ni (0.250, 0.750, 0.500)  0.30
Ni (0.750, 0.250, 0.500)  0.30
Ni (0.500, 0.500, 0.000)  0.50

=====

Record 11
## ZrAg3Ir (meta-GGA SCAN)

Data for ZrAg3Ir at its PBEsol-relaxed geometry.

VASP energy: -185.0 eV for the cell shown
space-group type: No. 221

a = 4.887 Å, b = 4.887 Å, c = 4.887 Å
α = 90.00°, β = 90.00°, γ = 90.00°
Site moments in Bohr magnetons follow the coordinates.
Fractional positions:
Ag (0.000, 0.000, 0.500)  0.12
Ag (0.000, 0.500, 0.000)  0.12
Ag (0.500, 0.000, 0.000)  0.12
Zr (0.000, 0.000, 0.000)  0.73
Ir (0.500, 0.500, 0.500)  0.19

=====

Record 12
## Y2TlPt (meta-GGA SCAN)

Data for Y2TlPt at its PBEsol-relaxed geometry.

VASP energy: -202.4 eV for the cell shown
space-group type: No. 123
E above lowest polymorph: 0.000 eV per atom

a = 3.528 Å, b = 3.528 Å, c = 7.479 Å
α = 90.00°, β = 90.00°, γ = 90.00°
Fractional positions:
Tl (0.500, 0.500, 0.500)
Y (0.000, 0.000, 0.220)
Y (0.000, 0.000, 0.780)
Pt (0.500, 0.500, 0.000)

=====

Record 13
## RbZnBP2O8 (meta-GGA SCAN)

Data for RbZnBP2O8 at its PBEsol-relaxed geometry.

formation energy from raw total energies: -2459 meV per atom
VASP energy: -288.6 eV for the cell shown
space-group type: No. 2

a = 7.490 Å, b = 7.628 Å, c = 7.860 Å
α = 118.91°, β = 101.63°, γ = 103.64°
Fractional positions:
O (0.837, 0.098, 0.144)
O (0.735, 0.421, 0.018)
O (0.018, 0.897, 0.249)
O (0.265, 0.579, 0.982)
O (0.916, 0.699, 0.500)
O (0.593, 0.011, 0.833)
O (0.553, 0.751, 0.922)
O (0.596, 0.822, 0.283)
O (0.404, 0.178, 0.717)
O (0.447, 0.249, 0.078)
O (0.407, 0.989, 0.167)
O (0.800, 0.810, 0.795)
O (0.084, 0.301, 0.500)
O (0.200, 0.190, 0.205)
O (0.163, 0.902, 0.856)
O (0.982, 0.103, 0.751)
Rb (0.730, 0.336, 0.586)
Rb (0.270, 0.664, 0.414)
P (0.548, 0.220, 0.914)
P (0.452, 0.780, 0.086)
P (0.034, 0.112, 0.277)
P (0.966, 0.888, 0.723)
Zn (0.802, 0.706, 0.260)
Zn (0.198, 0.294, 0.740)
B (0.298, 0.076, 0.070)
B (0.702, 0.924, 0.930)

=====

Record 14
## TaAgP2 (meta-GGA SCAN)

Data for TaAgP2 at its PBEsol-relaxed geometry.

VASP energy: -119.2 eV for the cell shown
space-group type: No. 10
E above lowest polymorph: 0.000 eV per atom

a = 3.226 Å, b = 3.233 Å, c = 5.964 Å
α = 94.39°, β = 90.00°, γ = 90.00°
Fractional positions:
Ag (0.500, 0.500, 0.000)
P (0.000, 0.037, 0.715)
P (0.000, 0.963, 0.285)
Ta (0.500, 0.500, 0.500)

=====

Record 15
## SrTlVO4 (meta-GGA SCAN)

Data for SrTlVO4 at its PBEsol-relaxed geometry.

formation energy from raw total energies: -2595 meV per atom
VASP energy: -620.9 eV for the cell shown
space-group type: No. 19

a = 5.830 Å, b = 7.517 Å, c = 9.936 Å
α = 90.00°, β = 90.00°, γ = 90.00°
Fractional positions:
Tl (0.478, 0.413, 0.923)
Tl (0.522, 0.913, 0.577)
Tl (0.978, 0.087, 0.077)
Tl (0.022, 0.587, 0.423)
O (0.430, 0.748, 0.936)
O (0.740, 0.010, 0.835)
O (0.753, 0.448, 0.168)
O (0.500, 0.054, 0.079)
O (0.570, 0.248, 0.564)
O (0.247, 0.948, 0.332)
O (0.930, 0.752, 0.064)
O (0.760, 0.990, 0.335)
O (0.747, 0.552, 0.668)
O (0.000, 0.446, 0.921)
O (0.260, 0.510, 0.665)
O (0.000, 0.946, 0.579)
O (0.240, 0.490, 0.165)
O (0.500, 0.554, 0.421)
O (0.070, 0.252, 0.436)
O (0.253, 0.052, 0.832)
V (0.984, 0.530, 0.082)
V (0.516, 0.470, 0.582)
V (0.016, 0.030, 0.418)
V (0.484, 0.970, 0.918)
Sr (0.024, 0.752, 0.796)
Sr (0.476, 0.248, 0.296)
Sr (0.524, 0.748, 0.204)
Sr (0.976, 0.252, 0.704)

=====

Record 16
## BeTl4W (meta-GGA SCAN)

Data for BeTl4W at its PBEsol-relaxed geometry.

VASP energy: -353.5 eV for the cell shown
space-group type: No. 216

a = 5.812 Å, b = 5.812 Å, c = 5.812 Å
α = 60.00°, β = 60.00°, γ = 60.00°
Fractional positions:
Tl (0.375, 0.375, 0.875)
Tl (0.875, 0.375, 0.375)
Tl (0.375, 0.375, 0.375)
Tl (0.375, 0.875, 0.375)
Be (0.000, 0.000, 0.000)
W (0.750, 0.750, 0.750)

=====

Record 17
## ScTiFe2Te (meta-GGA SCAN)

Data for ScTiFe2Te at its PBEsol-relaxed geometry.

formation energy from raw total energies: 1031 meV per atom
VASP energy: -98.6 eV for the cell shown
space-group type: No. 123

a = 4.366 Å, b = 4.366 Å, c = 5.238 Å
α = 90.00°, β = 90.00°, γ = 90.00°
Site moments in Bohr magnetons follow the coordinates.
Fractional positions:
Te (0.000, 0.000, 0.500)  0.13
Sc (0.000, 0.000, 0.000)  -0.45
Fe (0.500, 0.000, 0.000)  2.56
Fe (0.000, 0.500, 0.000)  2.56
Ti (0.500, 0.500, 0.500)  -1.67

=====

Record 18
## FeAs3P (meta-GGA SCAN)

Data for FeAs3P at its PBEsol-relaxed geometry.

VASP energy: -85.6 eV for the cell shown
space-group type: No. 221

a = 4.460 Å, b = 4.460 Å, c = 4.460 Å
α = 90.00°, β = 90.00°, γ = 90.00°
Fractional positions:
As (0.000, 0.000, 0.500)
As (0.000, 0.500, 0.000)
As (0.500, 0.000, 0.000)
Fe (0.000, 0.000, 0.000)
P (0.500, 0.500, 0.500)

=====

Record 19
## Ca2Al3O6F (meta-GGA SCAN)

Data for Ca2Al3O6F at its PBEsol-relaxed geometry.

formation energy from raw total energies: -3465 meV per atom
VASP energy: -500.4 eV for the cell shown
space-group type: No. 2

a = 6.970 Å, b = 10.209 Å, c = 10.246 Å
α = 114.62°, β = 103.27°, γ = 103.49°
Fractional positions:
O (0.728, 0.820, 0.744)
O (0.952, 0.626, 0.586)
O (0.914, 0.921, 0.166)
O (0.639, 0.591, 0.958)
O (0.524, 0.278, 0.743)
O (0.658, 0.037, 0.652)
O (0.476, 0.722, 0.257)
O (0.250, 0.464, 0.720)
O (0.750, 0.536, 0.280)
O (0.609, 0.507, 0.645)
O (0.095, 0.133, 0.480)
O (0.787, 0.249, 0.538)
O (0.048, 0.374, 0.414)
O (0.985, 0.259, 0.086)
O (0.905, 0.867, 0.520)
O (0.213, 0.751, 0.462)
O (0.044, 0.651, 0.137)
O (0.391, 0.493, 0.355)
O (0.342, 0.963, 0.348)
O (0.272, 0.180, 0.256)
O (0.086, 0.079, 0.834)
O (0.015, 0.741, 0.914)
O (0.956, 0.349, 0.863)
O (0.361, 0.409, 0.042)
Al (0.834, 0.946, 0.679)
Al (0.497, 0.548, 0.238)
Al (0.896, 0.730, 0.048)
Al (0.166, 0.054, 0.321)
Al (0.051, 0.307, 0.547)
Al (0.733, 0.230, 0.690)
Al (0.162, 0.326, 0.274)
Al (0.838, 0.674, 0.726)
Al (0.503, 0.452, 0.762)
Al (0.949, 0.693, 0.453)
Al (0.104, 0.270, 0.952)
Al (0.267, 0.770, 0.310)
Ca (0.282, 0.999, 0.009)
Ca (0.337, 0.633, 0.598)
Ca (0.261, 0.599, 0.971)
Ca (0.311, 0.027, 0.673)
Ca (0.689, 0.973, 0.327)
Ca (0.663, 0.367, 0.402)
Ca (0.718, 0.001, 0.991)
Ca (0.739, 0.401, 0.029)
F (0.640, 0.130, 0.209)
F (0.360, 0.870, 0.791)
F (0.467, 0.846, 0.044)
F (0.533, 0.154, 0.956)

=====

Record 20
## Li2ScTa (meta-GGA SCAN)

Data for Li2ScTa at its PBEsol-relaxed geometry.

VASP energy: -83.9 eV for the cell shown
space-group type: No. 25
E above lowest polymorph: 0.000 eV per atom

a = 2.768 Å, b = 4.420 Å, c = 6.053 Å
α = 90.00°, β = 90.00°, γ = 90.00°
Fractional positions:
Ta (0.500, 0.500, 0.745)
Li (0.000, 0.000, 0.995)
Li (0.500, 0.500, 0.240)
Sc (0.000, 0.000, 0.520)